1 | A geometry-optimized Tb2Y3Tl4 structure. Source: the Alexandria database, functional PBE.

Output
- density of states at the Fermi level (states/eV/f.u.) = 7.62
- SG = C2/m, No. 12
- spin magnetization (μB per cell) = 0.00

Cell and atoms, written as CIF:
```
data_Tb2Y3Tl4
_chemical_formula_sum 'Tb2 Y3 Tl4'
_cell_length_a 4.8471
_cell_length_b 6.6763
_cell_length_c 9.5827
_cell_angle_alpha 117.67
_cell_angle_beta 104.65
_cell_angle_gamma 90.00
_space_group_name_H-M_alt 'P 1'
_space_group_IT_number 1
_space_group_name_Hall 'P 1'
loop_
_atom_site_label
_atom_site_fract_x
_atom_site_fract_y
_atom_site_fract_z
Tl1 0.7455 0.8306 0.4911
Tl2 0.5095 0.7363 0.0191
Y1 0.1090 0.6388 0.2183
Y2 0.0000 0.0000 0.0000
Tb1 0.3285 0.7265 0.6570
Y3 0.8910 0.3612 0.7817
Tl3 0.2545 0.1694 0.5089
Tb2 0.6715 0.2735 0.3430
Tl4 0.4905 0.2637 0.9809
```

---

2 | A geometry-optimized Tb2Y3Tl4 structure. Source: the Alexandria database, functional PBE.

Output
- density of states at the Fermi level (states/eV/f.u.) = 6.24
- SG = Cmce, No. 64
- spin magnetization (μB per cell) = 0.00

Cell and atoms, written as CIF:
```
data_Tb2Y3Tl4
_chemical_formula_sum 'Tb4 Y6 Tl8'
_cell_length_a 7.2221
_cell_length_b 9.3935
_cell_length_c 8.7394
_cell_angle_alpha 90.00
_cell_angle_beta 114.41
_cell_angle_gamma 90.00
_space_group_name_H-M_alt 'P 1'
_space_group_IT_number 1
_space_group_name_Hall 'P 1'
loop_
_atom_site_label
_atom_site_fract_x
_atom_site_fract_y
_atom_site_fract_z
Tl1 0.2341 0.7500 0.9681
Tl2 0.2659 0.2500 0.0319
Tb1 0.3904 0.0665 0.7807
Y1 0.0396 0.7500 0.5793
Y2 0.5396 0.7500 0.5793
Tl3 0.1926 0.9633 0.3853
Y3 0.4604 0.2500 0.4207
Y4 0.9604 0.2500 0.4207
Tb2 0.8904 0.4335 0.7807
Y5 0.5000 0.5000 0.0000
Tl4 0.3074 0.4633 0.6147
Tl5 0.7659 0.2500 0.0319
Y6 0.0000 0.0000 0.0000
Tb3 0.6096 0.9335 0.2193
Tl6 0.7341 0.7500 0.9681
Tb4 0.1096 0.5665 0.2193
Tl7 0.8074 0.0367 0.6147
Tl8 0.6926 0.5367 0.3853
```

---

Last place for stability: 2

---

1 | A geometry-optimized TbYTlZn structure. Source: the Alexandria database, functional PBE.

Output
- density of states at the Fermi level (states/eV/f.u.) = 4.13
- SG = F-43m, No. 216
- spin magnetization (μB per cell) = 0.00

Cell and atoms, written as CIF:
```
data_TbYTlZn
_chemical_formula_sum 'Tb1 Y1 Tl1 Zn1'
_cell_length_a 5.2412
_cell_length_b 5.2412
_cell_length_c 5.2412
_cell_angle_alpha 60.00
_cell_angle_beta 60.00
_cell_angle_gamma 60.00
_space_group_name_H-M_alt 'P 1'
_space_group_IT_number 1
_space_group_name_Hall 'P 1'
loop_
_atom_site_label
_atom_site_fract_x
_atom_site_fract_y
_atom_site_fract_z
Tl1 0.0000 0.0000 0.0000
Tb1 0.2500 0.2500 0.2500
Y1 0.7500 0.7500 0.7500
Zn1 0.5000 0.5000 0.5000
```

---

2 | A geometry-optimized TbYTlZn structure. Source: the Alexandria database, functional PBE.

Output
- density of states at the Fermi level (states/eV/f.u.) = 3.15
- SG = P4mm, No. 99
- spin magnetization (μB per cell) = 0.00

Cell and atoms, written as CIF:
```
data_TbYTlZn
_chemical_formula_sum 'Tb1 Y1 Tl1 Zn1'
_cell_length_a 3.6788
_cell_length_b 3.6788
_cell_length_c 7.4421
_cell_angle_alpha 90.00
_cell_angle_beta 90.00
_cell_angle_gamma 90.00
_space_group_name_H-M_alt 'P 1'
_space_group_IT_number 1
_space_group_name_Hall 'P 1'
loop_
_atom_site_label
_atom_site_fract_x
_atom_site_fract_y
_atom_site_fract_z
Y1 0.0000 0.0000 0.3779
Tb1 0.0000 0.0000 0.8361
Zn1 0.5000 0.5000 0.6060
Tl1 0.5000 0.5000 0.1079
```

---

Last place for stability: 1

---

1 | A geometry-optimized Tb3TlZn structure. Source: the Alexandria database, functional PBE.

Output
- density of states at the Fermi level (states/eV/f.u.) = 6.36
- SG = Cmcm, No. 63
- spin magnetization (μB per cell) = 1.07

Cell and atoms, written as CIF:
```
data_Tb3TlZn
_chemical_formula_sum 'Tb6 Tl2 Zn2'
_cell_length_a 5.1373
_cell_length_b 5.1383
_cell_length_c 10.6112
_cell_angle_alpha 90.00
_cell_angle_beta 75.99
_cell_angle_gamma 90.00
_space_group_name_H-M_alt 'P 1'
_space_group_IT_number 1
_space_group_name_Hall 'P 1'
loop_
_atom_site_label
_atom_site_fract_x
_atom_site_fract_y
_atom_site_fract_z
Tb1 0.0738 0.7500 0.5008
Tb2 0.3868 0.2500 0.8747
Zn1 0.6699 0.7500 0.3086
Tl1 0.4815 0.7500 0.6854
Tb3 0.2615 0.7500 0.1253
Tl2 0.1669 0.2500 0.3146
Tb4 0.7632 0.2500 0.1220
Tb5 0.8852 0.7500 0.8780
Zn2 0.9785 0.2500 0.6914
Tb6 0.5746 0.2500 0.4992
```

---

2 | A geometry-optimized Tb3TlZn structure. Source: the Alexandria database, functional PBE.

Output
- density of states at the Fermi level (states/eV/f.u.) = 5.49
- SG = Pm-3m, No. 221
- spin magnetization (μB per cell) = 2.28

Cell and atoms, written as CIF:
```
data_Tb3TlZn
_chemical_formula_sum 'Tb9 Tl3 Zn3'
_cell_length_a 7.3862
_cell_length_b 7.3862
_cell_length_c 7.3862
_cell_angle_alpha 90.00
_cell_angle_beta 90.00
_cell_angle_gamma 90.00
_space_group_name_H-M_alt 'P 1'
_space_group_IT_number 1
_space_group_name_Hall 'P 1'
loop_
_atom_site_label
_atom_site_fract_x
_atom_site_fract_y
_atom_site_fract_z
Tl1 0.0000 0.5000 0.5000
Zn1 0.0000 0.5000 0.0000
Tb1 0.2344 0.7656 0.7656
Tl2 0.5000 0.0000 0.5000
Tb2 0.7656 0.7656 0.7656
Tb3 0.2344 0.7656 0.2344
Tb4 0.2344 0.2344 0.2344
Tb5 0.7656 0.2344 0.2344
Zn2 0.5000 0.0000 0.0000
Tb6 0.5000 0.5000 0.5000
Zn3 0.0000 0.0000 0.5000
Tb7 0.2344 0.2344 0.7656
Tb8 0.7656 0.7656 0.2344
Tl3 0.5000 0.5000 0.0000
Tb9 0.7656 0.2344 0.7656
```

---

Last place for stability: 2

---

1 | A geometry-optimized Tb3Tm structure. Source: the Alexandria database, functional PBE.

Output
- density of states at the Fermi level (states/eV/f.u.) = 6.57
- SG = Pmm2, No. 25
- spin magnetization (μB per cell) = 0.00

Cell and atoms, written as CIF:
```
data_Tb3Tm
_chemical_formula_sum 'Tb3 Tm1'
_cell_length_a 3.6157
_cell_length_b 5.6151
_cell_length_c 6.2595
_cell_angle_alpha 90.00
_cell_angle_beta 90.00
_cell_angle_gamma 90.00
_space_group_name_H-M_alt 'P 1'
_space_group_IT_number 1
_space_group_name_Hall 'P 1'
loop_
_atom_site_label
_atom_site_fract_x
_atom_site_fract_y
_atom_site_fract_z
Tb1 0.5000 0.0000 0.4990
Tb2 0.0000 0.5000 0.3331
Tb3 0.5000 0.5000 0.8339
Tm1 0.0000 0.0000 0.0006
```

---

2 | A geometry-optimized Tb3Tm structure. Source: the Alexandria database, functional PBE.

Output
- density of states at the Fermi level (states/eV/f.u.) = 5.15
- SG = I4/mmm, No. 139
- spin magnetization (μB per cell) = 0.00

Cell and atoms, written as CIF:
```
data_Tb3Tm
_chemical_formula_sum 'Tb3 Tm1'
_cell_length_a 6.1275
_cell_length_b 6.1275
_cell_length_c 6.1275
_cell_angle_alpha 131.91
_cell_angle_beta 131.91
_cell_angle_gamma 70.38
_space_group_name_H-M_alt 'P 1'
_space_group_IT_number 1
_space_group_name_Hall 'P 1'
loop_
_atom_site_label
_atom_site_fract_x
_atom_site_fract_y
_atom_site_fract_z
Tb1 0.7500 0.2500 0.5000
Tb2 0.2500 0.7500 0.5000
Tb3 0.5000 0.5000 0.0000
Tm1 0.0000 0.0000 0.0000
```

---

3 | A geometry-optimized Tb3Tm structure. Source: the Alexandria database, functional PBE.

Output
- density of states at the Fermi level (states/eV/f.u.) = 9.83
- SG = Fm-3m, No. 225
- spin magnetization (μB per cell) = 0.00

Cell and atoms, written as CIF:
```
data_Tb3Tm
_chemical_formula_sum 'Tb3 Tm1'
_cell_length_a 5.6409
_cell_length_b 5.6409
_cell_length_c 5.6409
_cell_angle_alpha 60.00
_cell_angle_beta 60.00
_cell_angle_gamma 60.00
_space_group_name_H-M_alt 'P 1'
_space_group_IT_number 1
_space_group_name_Hall 'P 1'
loop_
_atom_site_label
_atom_site_fract_x
_atom_site_fract_y
_atom_site_fract_z
Tm1 0.5000 0.5000 0.5000
Tb1 0.2500 0.2500 0.2500
Tb2 0.7500 0.7500 0.7500
Tb3 0.0000 0.0000 0.0000
```

---

Last place for stability: 3

---

1 | A geometry-optimized Tb3Tm structure. Source: the Alexandria database, functional PBE.

Output
- density of states at the Fermi level (states/eV/f.u.) = 6.91
- SG = Imm2, No. 44
- spin magnetization (μB per cell) = 0.00

Cell and atoms, written as CIF:
```
data_Tb3Tm
_chemical_formula_sum 'Tb3 Tm1'
_cell_length_a 3.6143
_cell_length_b 6.2429
_cell_length_c 6.6866
_cell_angle_alpha 117.83
_cell_angle_beta 105.68
_cell_angle_gamma 90.00
_space_group_name_H-M_alt 'P 1'
_space_group_IT_number 1
_space_group_name_Hall 'P 1'
loop_
_atom_site_label
_atom_site_fract_x
_atom_site_fract_y
_atom_site_fract_z
Tb1 0.7487 0.0817 0.4974
Tb2 0.5000 0.4994 0.0000
Tm1 0.0000 0.0014 0.0000
Tb3 0.2513 0.5843 0.5026
```

---

2 | A geometry-optimized Tb3Tm structure. Source: the Alexandria database, functional PBE.

Output
- density of states at the Fermi level (states/eV/f.u.) = 5.81
- SG = Pm-3m, No. 221
- spin magnetization (μB per cell) = 0.00

Cell and atoms, written as CIF:
```
data_Tb3Tm
_chemical_formula_sum 'Tb3 Tm1'
_cell_length_a 4.9995
_cell_length_b 4.9995
_cell_length_c 4.9995
_cell_angle_alpha 90.00
_cell_angle_beta 90.00
_cell_angle_gamma 90.00
_space_group_name_H-M_alt 'P 1'
_space_group_IT_number 1
_space_group_name_Hall 'P 1'
loop_
_atom_site_label
_atom_site_fract_x
_atom_site_fract_y
_atom_site_fract_z
Tb1 0.5000 0.0000 0.5000
Tb2 0.0000 0.5000 0.5000
Tb3 0.5000 0.5000 0.0000
Tm1 0.0000 0.0000 0.0000
```

---

Last place for stability: 2

---

1 | A geometry-optimized TbTm4 structure. Source: the Alexandria database, functional PBE.

Output
- density of states at the Fermi level (states/eV/f.u.) = 9.36
- SG = P2/c, No. 13
- spin magnetization (μB per cell) = 0.00

Cell and atoms, written as CIF:
```
data_TbTm4
_chemical_formula_sum 'Tb2 Tm8'
_cell_length_a 6.0655
_cell_length_b 6.1986
_cell_length_c 9.0805
_cell_angle_alpha 90.00
_cell_angle_beta 90.00
_cell_angle_gamma 114.14
_space_group_name_H-M_alt 'P 1'
_space_group_IT_number 1
_space_group_name_Hall 'P 1'
loop_
_atom_site_label
_atom_site_fract_x
_atom_site_fract_y
_atom_site_fract_z
Tm1 0.0669 0.6640 0.1811
Tb1 0.2500 0.0000 0.8844
Tm2 0.9331 0.3360 0.8189
Tm3 0.0014 0.2559 0.4370
Tb2 0.7500 0.0000 0.1156
Tm4 0.4331 0.3360 0.1811
Tm5 0.9986 0.7441 0.5630
Tm6 0.4986 0.7441 0.4370
Tm7 0.5669 0.6640 0.8189
Tm8 0.5014 0.2559 0.5630
```

---

2 | A geometry-optimized TbTm4 structure. Source: the Alexandria database, functional PBE.

Output
- density of states at the Fermi level (states/eV/f.u.) = 7.14
- SG = Pm-3m, No. 221
- spin magnetization (μB per cell) = 0.00

Cell and atoms, written as CIF:
```
data_TbTm4
_chemical_formula_sum 'Tb1 Tm4'
_cell_length_a 5.5315
_cell_length_b 5.5315
_cell_length_c 5.5315
_cell_angle_alpha 90.00
_cell_angle_beta 90.00
_cell_angle_gamma 90.00
_space_group_name_H-M_alt 'P 1'
_space_group_IT_number 1
_space_group_name_Hall 'P 1'
loop_
_atom_site_label
_atom_site_fract_x
_atom_site_fract_y
_atom_site_fract_z
Tm1 0.5000 0.5000 0.0000
Tm2 0.5000 0.0000 0.5000
Tm3 0.0000 0.5000 0.5000
Tm4 0.0000 0.0000 0.0000
Tb1 0.5000 0.5000 0.5000
```

---

Last place for stability: 2